An optimized crystal structure of Ce3Si2Rh3, computed with PBEsol.

Output
N(E_F)   46.48 states/eV/cell
E_form (uncorrected)   -866 meV per atom
V   609.8 Å³ per cell

Cell: 7.590 14.525 5.531 Å, 90.00 90.00 90.00°
Space group Pnma (No. 62)
Asymmetric unit:
Ce  0.030  0.108  0.142 (multiplicity 8)
Ce  0.167  0.250  0.619 (multiplicity 4)
Si  0.121  0.604  0.353 (multiplicity 8)
Rh  0.166  0.034  0.596 (multiplicity 8)
Rh  0.193  0.750  0.600 (multiplicity 4)